Record 1
# LiCu3O3

A geometry-optimized LiCu3O3 structure (PBE, Alexandria via LeMat-Bulk). Values from VASP.

```
&SYSTEM
  ibrav = 0, nat = 7, ntyp = 3
/
ATOMIC_SPECIES
Li 6.94 Li.upf
Cu 63.55 Cu.upf
O 16.00 O.upf
CELL_PARAMETERS angstrom
2.867 0.000 0.000
0.000 2.867 0.000
0.000 0.000 8.680
ATOMIC_POSITIONS crystal
Li 0.000 0.000 0.000
Cu 0.000 0.000 0.478
Cu 0.500 0.500 0.233
Cu 0.500 0.500 0.773
O 0.000 0.000 0.741
O 0.500 0.500 0.025
O 0.500 0.500 0.450
```

## Properties
* E above lowest polymorph: 93 meV/atom
* magnetization: 0.0020 μB/atom
* DOS(E_F): 1.03 states/eV per atom
* uncorrected formation energy: -5.01 eV per formula unit

Record 2
# AcAlRh

A geometry-optimized AcAlRh structure (PBE, Alexandria via LeMat-Bulk). Values from VASP.

```
&SYSTEM
  ibrav = 0, nat = 3, ntyp = 3
/
ATOMIC_SPECIES
Ac 227.00 Ac.upf
Al 26.98 Al.upf
Rh 102.91 Rh.upf
CELL_PARAMETERS angstrom
4.376 0.000 0.000
-2.188 3.790 0.000
0.000 0.000 4.452
ATOMIC_POSITIONS crystal
Ac 0.000 0.000 0.000
Al 0.667 0.333 0.500
Rh 0.333 0.667 0.501
```

## Properties
* E above lowest polymorph: 79 meV/atom
* energy of formation: -0.66 eV/atom
* magnetization: 0.0000 μB/atom
* DOS(E_F): 0.79 states/eV per atom

Record 3
# Mg2Ni2Ag

A geometry-optimized Mg2Ni2Ag structure (PBE, Alexandria via LeMat-Bulk). Values from VASP.

```
&SYSTEM
  ibrav = 0, nat = 10, ntyp = 3
/
ATOMIC_SPECIES
Mg 24.30 Mg.upf
Ni 58.69 Ni.upf
Ag 107.87 Ag.upf
CELL_PARAMETERS angstrom
6.559 0.000 0.000
0.000 6.559 0.000
0.000 0.000 3.706
ATOMIC_POSITIONS crystal
Mg 0.172 0.328 0.000
Mg 0.328 0.828 0.000
Mg 0.672 0.172 0.000
Mg 0.828 0.672 0.000
Ni 0.124 0.624 0.500
Ni 0.376 0.124 0.500
Ni 0.624 0.876 0.500
Ni 0.876 0.376 0.500
Ag 0.000 0.000 0.500
Ag 0.500 0.500 0.500
```

## Properties
* E above lowest polymorph: 0 meV/atom
* energy of formation: -0.08 eV/atom
* magnetization: 0.0000 μB/atom
* DOS(E_F): 0.50 states/eV per atom

Record 4
# HoPuSn2

A geometry-optimized HoPuSn2 structure (PBE, Alexandria via LeMat-Bulk). Values from VASP.

```
&SYSTEM
  ibrav = 0, nat = 4, ntyp = 3
/
ATOMIC_SPECIES
Ho 164.93 Ho.upf
Pu 244.00 Pu.upf
Sn 118.71 Sn.upf
CELL_PARAMETERS angstrom
3.961 0.000 0.000
0.000 3.961 0.000
0.000 0.000 6.779
ATOMIC_POSITIONS crystal
Ho 0.000 0.000 0.000
Pu 0.000 0.000 0.500
Sn 0.500 0.500 0.238
Sn 0.500 0.500 0.762
```

## Properties
* energy of formation: -0.46 eV/atom
* magnetization: 1.5227 μB/atom
* DOS(E_F): 2.65 states/eV per atom

Record 5
# CoRe2Pb

A geometry-optimized CoRe2Pb structure (PBE, Alexandria via LeMat-Bulk). Values from VASP.

```
&SYSTEM
  ibrav = 0, nat = 8, ntyp = 3
/
ATOMIC_SPECIES
Co 58.93 Co.upf
Re 186.21 Re.upf
Pb 207.20 Pb.upf
CELL_PARAMETERS angstrom
-1.931 1.931 9.561
1.931 -1.931 9.561
1.931 1.931 -9.561
ATOMIC_POSITIONS crystal
Co 0.000 0.000 0.000
Co 0.750 0.250 0.500
Re 0.064 0.625 0.939
Re 0.375 0.314 0.439
Re 0.686 0.125 0.061
Re 0.875 0.936 0.561
Pb 0.250 0.750 0.500
Pb 0.500 0.500 0.000
```

## Properties
* energy of formation: 0.98 eV/atom
* magnetization: 0.2707 μB/atom
* DOS(E_F): 1.05 states/eV per atom

Record 6
# BaZrTl4

A geometry-optimized BaZrTl4 structure (PBE, Alexandria via LeMat-Bulk). Values from VASP.

```
&SYSTEM
  ibrav = 0, nat = 6, ntyp = 3
/
ATOMIC_SPECIES
Ba 137.33 Ba.upf
Zr 91.22 Zr.upf
Tl 204.38 Tl.upf
CELL_PARAMETERS angstrom
0.000 4.479 4.479
4.479 0.000 4.479
4.479 4.479 0.000
ATOMIC_POSITIONS crystal
Ba 0.000 0.000 0.000
Zr 0.250 0.250 0.250
Tl 0.127 0.624 0.624
Tl 0.624 0.127 0.624
Tl 0.624 0.624 0.127
Tl 0.624 0.624 0.624
```

## Properties
* energy of formation: 0.15 eV/atom
* magnetization: 0.2197 μB/atom
* DOS(E_F): 0.77 states/eV per atom